# 1
DFT (GGA-PBE) results for a geometry-optimized CePaPt2 structure.

Cell and atoms, written as CIF:
```
data_CePaPt2
_chemical_formula_sum 'Ce4 Pa4 Pt8'
_cell_length_a 7.064
_cell_length_b 7.064
_cell_length_c 7.064
_cell_angle_alpha 90.00
_cell_angle_beta 90.00
_cell_angle_gamma 90.00
_space_group_name_H-M_alt 'P 1'
_space_group_IT_number 1
loop_
_space_group_symop_operation_xyz
'x,y,z'
loop_
_atom_site_label
_atom_site_fract_x
_atom_site_fract_y
_atom_site_fract_z
Ce1 0.000 0.000 0.000
Ce2 0.000 0.500 0.500
Ce3 0.500 0.000 0.500
Ce4 0.500 0.500 0.000
Pa1 0.000 0.000 0.500
Pa2 0.000 0.500 0.000
Pa3 0.500 0.000 0.000
Pa4 0.500 0.500 0.500
Pt1 0.250 0.250 0.250
Pt2 0.250 0.250 0.750
Pt3 0.250 0.750 0.250
Pt4 0.250 0.750 0.750
Pt5 0.750 0.250 0.250
Pt6 0.750 0.250 0.750
Pt7 0.750 0.750 0.250
Pt8 0.750 0.750 0.750
```

Properties
**Space group**: Fm-3m
**Volume**: 88.1 Å³/f.u.
**DOS at the Fermi energy**: 33.2 states/eV/cell
**Calculated formation energy**: -836 meV per atom
**Offset from the most stable computed form**: 0.65 eV per formula unit

# 2
DFT (GGA-PBE) results for a geometry-optimized KP2AuS8 structure.

Cell and atoms, written as CIF:
```
data_KP2AuS8
_chemical_formula_sum 'K1 P2 Au1 S8'
_cell_length_a 5.903
_cell_length_b 5.903
_cell_length_c 9.640
_cell_angle_alpha 90.00
_cell_angle_beta 90.00
_cell_angle_gamma 120.00
_space_group_name_H-M_alt 'P 1'
_space_group_IT_number 1
loop_
_space_group_symop_operation_xyz
'x,y,z'
loop_
_atom_site_label
_atom_site_fract_x
_atom_site_fract_y
_atom_site_fract_z
K1 0.000 0.000 0.000
P1 0.333 0.667 0.719
P2 0.667 0.333 0.281
Au1 0.000 0.000 0.500
S1 0.008 0.674 0.336
S2 0.326 0.333 0.336
S3 0.333 0.008 0.664
S4 0.333 0.667 0.926
S5 0.667 0.333 0.074
S6 0.667 0.992 0.336
S7 0.674 0.667 0.664
S8 0.992 0.326 0.664
```

Properties
**Space group**: P-3
**Volume**: 290.9 Å³/f.u.
**Formation energy without anion corrections**: -0.1357 eV per atom
**DOS at the Fermi energy**: 2.5 states/eV/cell

# 3
DFT (GGA-PBE) results for a geometry-optimized LaCoPb2 structure.

Cell and atoms, written as CIF:
```
data_LaCoPb2
_chemical_formula_sum 'La1 Co1 Pb2'
_cell_length_a 4.674
_cell_length_b 4.674
_cell_length_c 4.743
_cell_angle_alpha 90.00
_cell_angle_beta 90.00
_cell_angle_gamma 90.00
_space_group_name_H-M_alt 'P 1'
_space_group_IT_number 1
loop_
_space_group_symop_operation_xyz
'x,y,z'
loop_
_atom_site_label
_atom_site_fract_x
_atom_site_fract_y
_atom_site_fract_z
La1 0.000 0.000 0.000
Co1 0.500 0.500 0.000
Pb1 0.000 0.500 0.500
Pb2 0.500 0.000 0.500
```

Properties
**Space group**: P4/mmm
**Volume**: 103.6 Å³/f.u.
**DOS at the Fermi energy**: 5.5 states/eV/cell
**Calculated formation energy**: 39 meV per atom
**Offset from the most stable computed form**: 0.86 eV per formula unit

# 4
DFT (GGA-PBE) results for a geometry-optimized TiInPt2 structure.

Cell and atoms, written as CIF:
```
data_TiInPt2
_chemical_formula_sum 'Ti4 In4 Pt8'
_cell_length_a 7.269
_cell_length_b 7.269
_cell_length_c 5.670
_cell_angle_alpha 90.00
_cell_angle_beta 90.00
_cell_angle_gamma 90.00
_space_group_name_H-M_alt 'P 1'
_space_group_IT_number 1
loop_
_space_group_symop_operation_xyz
'x,y,z'
loop_
_atom_site_label
_atom_site_fract_x
_atom_site_fract_y
_atom_site_fract_z
Ti1 0.000 0.000 0.000
Ti2 0.000 0.500 0.250
Ti3 0.500 0.000 0.750
Ti4 0.500 0.500 0.500
In1 0.000 0.000 0.500
In2 0.000 0.500 0.750
In3 0.500 0.000 0.250
In4 0.500 0.500 0.000
Pt1 0.222 0.750 0.125
Pt2 0.250 0.222 0.875
Pt3 0.250 0.278 0.375
Pt4 0.278 0.750 0.625
Pt5 0.722 0.250 0.625
Pt6 0.750 0.722 0.375
Pt7 0.750 0.778 0.875
Pt8 0.778 0.250 0.125
```

Properties
**Space group**: I-42d
**Volume**: 74.9 Å³/f.u.
**DOS at the Fermi energy**: 14.1 states/eV/cell
**Calculated formation energy**: -342 meV per atom

# 5
DFT (GGA-PBE) results for a geometry-optimized Sm3NpRh8 structure.

Cell and atoms, written as CIF:
```
data_Sm3NpRh8
_chemical_formula_sum 'Sm3 Np1 Rh8'
_cell_length_a 9.300
_cell_length_b 9.300
_cell_length_c 9.300
_cell_angle_alpha 33.55
_cell_angle_beta 33.55
_cell_angle_gamma 33.55
_space_group_name_H-M_alt 'P 1'
_space_group_IT_number 1
loop_
_space_group_symop_operation_xyz
'x,y,z'
loop_
_atom_site_label
_atom_site_fract_x
_atom_site_fract_y
_atom_site_fract_z
Sm1 0.000 0.000 0.000
Sm2 0.125 0.125 0.125
Sm3 0.625 0.625 0.625
Np1 0.500 0.500 0.500
Rh1 0.062 0.062 0.560
Rh2 0.062 0.560 0.062
Rh3 0.066 0.563 0.563
Rh4 0.313 0.313 0.313
Rh5 0.560 0.062 0.062
Rh6 0.563 0.066 0.563
Rh7 0.563 0.563 0.066
Rh8 0.813 0.813 0.813
```

Properties
**Space group**: R3m
**Volume**: 218.9 Å³/f.u.
**DOS at the Fermi energy**: 14.8 states/eV/cell
**Calculated formation energy**: -586 meV per atom

# 6
DFT (GGA-PBE) results for a geometry-optimized UNi8Pt3 structure.

Cell and atoms, written as CIF:
```
data_UNi8Pt3
_chemical_formula_sum 'U1 Ni8 Pt3'
_cell_length_a 4.826
_cell_length_b 4.826
_cell_length_c 7.728
_cell_angle_alpha 90.00
_cell_angle_beta 90.00
_cell_angle_gamma 120.00
_space_group_name_H-M_alt 'P 1'
_space_group_IT_number 1
loop_
_space_group_symop_operation_xyz
'x,y,z'
loop_
_atom_site_label
_atom_site_fract_x
_atom_site_fract_y
_atom_site_fract_z
U1 0.000 0.000 0.000
Ni1 0.164 0.328 0.681
Ni2 0.164 0.836 0.681
Ni3 0.333 0.667 0.431
Ni4 0.333 0.667 0.932
Ni5 0.503 0.006 0.186
Ni6 0.503 0.497 0.186
Ni7 0.672 0.836 0.681
Ni8 0.994 0.497 0.186
Pt1 0.000 0.000 0.374
Pt2 0.667 0.333 0.496
Pt3 0.667 0.333 0.868
```

Properties
**Space group**: P3m1
**Volume**: 155.8 Å³/f.u.
**DOS at the Fermi energy**: 16.6 states/eV/cell
**Calculated formation energy**: -199 meV per atom

# 7
DFT (GGA-PBE) results for a geometry-optimized TlAsRuBr2 structure.

Cell and atoms, written as CIF:
```
data_TlAsRuBr2
_chemical_formula_sum 'Tl1 As1 Ru1 Br2'
_cell_length_a 5.408
_cell_length_b 5.408
_cell_length_c 4.647
_cell_angle_alpha 90.00
_cell_angle_beta 90.00
_cell_angle_gamma 90.00
_space_group_name_H-M_alt 'P 1'
_space_group_IT_number 1
loop_
_space_group_symop_operation_xyz
'x,y,z'
loop_
_atom_site_label
_atom_site_fract_x
_atom_site_fract_y
_atom_site_fract_z
Tl1 0.000 0.000 0.000
As1 0.500 0.500 0.000
Ru1 0.500 0.500 0.500
Br1 0.000 0.500 0.500
Br2 0.500 0.000 0.500
```

Properties
**Space group**: P4/mmm
**Volume**: 135.9 Å³/f.u.
**Formation energy without anion corrections**: -0.0268 eV per atom
**DOS at the Fermi energy**: 3.1 states/eV/cell
**Offset from the most stable computed form**: 0.00 eV per formula unit

# 8
DFT (GGA-PBE) results for a geometry-optimized Pm5NdSm2Dy structure.

Cell and atoms, written as CIF:
```
data_Pm5NdSm2Dy
_chemical_formula_sum 'Pm10 Nd2 Sm4 Dy2'
_cell_length_a 10.060
_cell_length_b 10.060
_cell_length_c 10.060
_cell_angle_alpha 127.64
_cell_angle_beta 127.64
_cell_angle_gamma 77.20
_space_group_name_H-M_alt 'P 1'
_space_group_IT_number 1
loop_
_space_group_symop_operation_xyz
'x,y,z'
loop_
_atom_site_label
_atom_site_fract_x
_atom_site_fract_y
_atom_site_fract_z
Pm1 0.000 0.000 0.000
Pm2 0.070 0.570 0.916
Pm3 0.154 0.070 0.500
Pm4 0.346 0.846 0.916
Pm5 0.430 0.346 0.500
Pm6 0.500 0.500 0.000
Pm7 0.570 0.654 0.500
Pm8 0.654 0.154 0.084
Pm9 0.846 0.930 0.500
Pm10 0.930 0.430 0.084
Nd1 0.250 0.250 0.000
Nd2 0.750 0.750 0.000
Sm1 0.117 0.383 0.500
Sm2 0.383 0.883 0.267
Sm3 0.617 0.117 0.733
Sm4 0.883 0.617 0.500
Dy1 0.250 0.750 0.500
Dy2 0.750 0.250 0.500
```

Properties
**Space group**: I4/mcm
**Volume**: 309.7 Å³/f.u.
**DOS at the Fermi energy**: 26.7 states/eV/cell
**Calculated formation energy**: 277 meV per atom